1.
This record from Alexandria describes a relaxed structure of LaPm5Tl3. The functional is GGA-PBE.

abc: 9.635 9.635 6.929
angles: 90.00 90.00 120.00
Positions (direct):
La 0.000 0.000 0.000
La 0.000 0.000 0.500
Pm 0.000 0.331 0.250
Pm 0.000 0.669 0.750
Pm 0.331 0.000 0.250
Pm 0.331 0.331 0.750
Pm 0.333 0.667 0.000
Pm 0.333 0.667 0.500
Pm 0.667 0.333 0.000
Pm 0.667 0.333 0.500
Pm 0.669 0.000 0.750
Pm 0.669 0.669 0.250
Tl 0.000 0.338 0.750
Tl 0.000 0.662 0.250
Tl 0.338 0.000 0.750
Tl 0.338 0.338 0.250
Tl 0.662 0.000 0.250
Tl 0.662 0.662 0.750

**Formation enthalpy at 0 K**: -2.5 eV per formula unit

***

2.
This record from Alexandria describes a relaxed structure of Pr5HgAu2. The functional is GGA-PBE.

abc: 8.915 8.915 8.915
angles: 123.21 123.21 84.52
Positions (direct):
Pr 0.000 0.000 0.000
Pr 0.011 0.511 0.813
Pr 0.198 0.011 0.500
Pr 0.302 0.802 0.813
Pr 0.489 0.302 0.500
Pr 0.500 0.500 0.000
Pr 0.511 0.698 0.500
Pr 0.698 0.198 0.187
Pr 0.802 0.989 0.500
Pr 0.989 0.489 0.187
Hg 0.250 0.250 0.000
Hg 0.750 0.750 0.000
Au 0.133 0.367 0.500
Au 0.367 0.867 0.234
Au 0.633 0.133 0.766
Au 0.867 0.633 0.500

**Excess energy over the best structure of this formula in the dataset**: 0.0 meV per atom
**Formation enthalpy at 0 K**: -4.0 eV per formula unit

***

3.
This record from Alexandria describes a relaxed structure of K3Tb2PmS6. The functional is GGA-PBE.

abc: 7.105 7.105 7.753
angles: 98.79 98.79 120.00
Positions (direct):
K 0.000 0.000 0.000
K 0.334 0.666 0.000
K 0.666 0.334 0.000
Tb 0.167 0.833 0.500
Tb 0.833 0.167 0.500
Pm 0.500 0.500 0.500
S 0.093 0.432 0.296
S 0.229 0.229 0.704
S 0.432 0.093 0.296
S 0.568 0.907 0.704
S 0.771 0.771 0.296
S 0.907 0.568 0.704

**Raw formation energy**: -1.879 eV per atom

***

| no. | E_tot (eV per atom) | total moment (μB per formula unit) |
| --- | --- | --- |
| 1 | -4.25 | 2.125 |
| 2 | -4.34 | 0.000 |
| 3 | -5.38 | 0.000 |